Record 1
## ZnIr2Pd (PBE-GGA)

Data for a relaxed structure of ZnIr2Pd.

Structure (POSCAR):
```
ZnIr2Pd
1.0
0.0000 3.0934 3.0934
3.0934 0.0000 3.0934
3.0934 3.0934 0.0000
Zn Ir Pd
1 2 1
Direct
0.0000 0.0000 0.0000 Zn
0.2500 0.2500 0.2500 Ir
0.5000 0.5000 0.5000 Ir
0.7500 0.7500 0.7500 Pd
```

Calculated values
energy of formation from the pure elements = 0.1189 eV/atom
space group = F-43m, No. 216



Record 2
## NaTaB (PBE-GGA)

Data for a relaxed structure of NaTaB.

Structure (POSCAR):
```
NaTaB
1.0
0.0000 2.8306 2.8306
2.8306 0.0000 2.8306
2.8306 2.8306 0.0000
Na Ta B
1 1 1
Direct
0.0000 0.0000 0.0000 Na
0.5000 0.5000 0.5000 Ta
0.2500 0.2500 0.2500 B
```

Calculated values
relative energy among the computed polymorphs = 0.0000 eV per atom
space group = F-43m, No. 216



Record 3
## Gd2YB2Pd2N3 (PBE-GGA)

Data for a relaxed structure of Gd2YB2Pd2N3.

Structure (POSCAR):
```
Gd2YB2Pd2N3
1.0
-1.8298 1.8298 10.1658
1.8298 -1.8298 10.1658
1.8298 1.8298 -10.1658
Gd Y B Pd N
2 1 2 2 3
Direct
0.1190 0.1190 0.0000 Gd
0.8810 0.8810 0.0000 Gd
0.5000 0.5000 0.0000 Y
0.3154 0.3154 0.0000 B
0.6846 0.6846 0.0000 B
0.2500 0.7500 0.5000 Pd
0.7500 0.2500 0.5000 Pd
0.0000 0.0000 0.0000 N
0.3858 0.3858 0.0000 N
0.6142 0.6142 0.0000 N
```

Calculated values
raw total energy = -7.60 eV per atom
space group = I4/mmm, No. 139



Record 4
## Dy3Tm4Ni2Te2 (PBE-GGA)

Data for a relaxed structure of Dy3Tm4Ni2Te2.

Structure (POSCAR):
```
Dy3Tm4Ni2Te2
1.0
-1.9134 7.7394 4.7530
1.9134 -7.7394 4.7530
1.9134 7.7394 -4.7530
Dy Tm Ni Te
3 4 2 2
Direct
0.0000 0.0000 0.0000 Dy
0.0633 0.3783 0.6850 Dy
0.6933 0.3783 0.3150 Dy
0.0824 0.7300 0.3524 Tm
0.3775 0.7300 0.6476 Tm
0.4478 0.5808 0.8670 Tm
0.7137 0.5808 0.1330 Tm
0.3102 0.0716 0.2386 Ni
0.8330 0.0716 0.7614 Ni
0.3363 0.3363 0.0000 Te
0.7319 0.2319 0.5000 Te
```

Calculated values
relative energy among the computed polymorphs = 0.0107 eV per atom
space group = Imm2, No. 44



Record 5
## YZrAl2 (PBE-GGA)

Data for a relaxed structure of YZrAl2.

Structure (POSCAR):
```
YZrAl2
1.0
0.0000 3.4822 3.4822
3.4822 0.0000 3.4822
3.4822 3.4822 0.0000
Y Zr Al
1 1 2
Direct
0.0000 0.0000 0.0000 Y
0.2500 0.2500 0.2500 Zr
0.5000 0.5000 0.5000 Al
0.7500 0.7500 0.7500 Al
```

Calculated values
raw total energy = -5.53 eV per atom
space group = F-43m, No. 216



Record 6
## Ta3BCl (PBE-GGA)

Data for a relaxed structure of Ta3BCl.

Structure (POSCAR):
```
Ta3BCl
1.0
-3.0396 3.0396 4.4894
3.0396 -3.0396 4.4894
3.0396 3.0396 -4.4894
Ta B Cl
6 2 2
Direct
0.1471 0.6471 0.7942 Ta
0.2500 0.2500 0.0000 Ta
0.3529 0.1471 0.5000 Ta
0.6471 0.8529 0.5000 Ta
0.7500 0.7500 0.0000 Ta
0.8529 0.3529 0.2058 Ta
0.2500 0.7500 0.5000 B
0.7500 0.2500 0.5000 B
0.0000 0.0000 0.0000 Cl
0.5000 0.5000 0.0000 Cl
```

Calculated values
raw total energy = -7.78 eV per atom
space group = I4/mcm, No. 140



Record 7
## PrYPa (PBE-GGA)

Data for a relaxed structure of PrYPa.

Structure (POSCAR):
```
PrYPa
1.0
0.0000 3.6875 3.6875
3.6875 0.0000 3.6875
3.6875 3.6875 0.0000
Pr Y Pa
1 1 1
Direct
0.0000 0.0000 0.0000 Pr
0.2500 0.2500 0.2500 Y
0.7500 0.7500 0.7500 Pa
```

Calculated values
relative energy among the computed polymorphs = 0.0000 eV per atom
energy of formation from the pure elements = 1.0865 eV/atom
space group = F-43m, No. 216



Record 8
## AcTbNO (PBE-GGA)

Data for a relaxed structure of AcTbNO.

Structure (POSCAR):
```
AcTbNO
1.0
7.1099 0.0000 0.0000
0.0000 8.7228 0.0000
0.0000 0.0000 5.1259
Ac Tb N O
4 4 4 4
Direct
0.0557 0.1335 0.0000 Ac
0.4443 0.1335 0.5000 Ac
0.5557 0.8665 0.0000 Ac
0.9443 0.8665 0.5000 Ac
0.0888 0.6127 0.9998 Tb
0.4112 0.6127 0.4998 Tb
0.5888 0.3873 0.9998 Tb
0.9112 0.3873 0.4998 Tb
0.0839 0.6082 0.5012 N
0.4161 0.6082 0.0012 N
0.5839 0.3918 0.5012 N
0.9161 0.3918 0.0012 N
0.0918 0.1658 0.4993 O
0.4082 0.1658 0.9993 O
0.5918 0.8342 0.4993 O
0.9082 0.8342 0.9993 O
```

Calculated values
relative energy among the computed polymorphs = 0.0000 eV per atom
space group = Pca2_1, No. 29